No. 1
Hf6ReBi: relaxed, GGA-PBE.

The structure in POSCAR format:
```
Hf6ReBi
1.0
3.036 -5.433 0.000
3.036 5.433 0.000
-2.706 0.000 5.629
Hf Re Bi
6 1 1
Direct
0.201 0.766 0.730
0.234 0.799 0.270
0.477 0.477 0.734
0.523 0.523 0.266
0.766 0.201 0.730
0.799 0.234 0.270
0.000 0.000 0.500
0.000 0.000 0.000
```

Values from the calculation:
Energy, eV per cell: -73.012
Energy of formation from the pure elements, kJ/mol of formula units: 293.1

No. 2
TaTc2H: relaxed, GGA-PBE.

The structure in POSCAR format:
```
TaTc2H
1.0
0.000 3.027 3.027
3.027 0.000 3.027
3.027 3.027 0.000
Ta Tc H
1 2 1
Direct
0.000 0.000 0.000
0.250 0.250 0.250
0.750 0.750 0.750
0.500 0.500 0.500
```

Values from the calculation:
Energy, eV per cell: -33.111
Offset from the most stable computed form, eV/atom: 0.566

No. 3
BaVGaB2: relaxed, GGA-PBE.

The structure in POSCAR format:
```
BaVGaB2
1.0
4.808 0.000 0.000
0.000 4.808 0.000
0.000 0.000 5.271
Ba V Ga B
1 1 1 2
Direct
0.000 0.000 0.000
0.000 0.000 0.500
0.500 0.500 0.500
0.000 0.500 0.000
0.500 0.000 0.000
```

Values from the calculation:
Energy, eV per cell: -13.556
Energy of formation from the pure elements, kJ/mol of formula units: 1338.0

No. 4
SmAsRh3: relaxed, GGA-PBE.

The structure in POSCAR format:
```
SmAsRh3
1.0
-2.730 3.817 4.292
2.730 -3.817 4.292
2.730 3.817 -4.292
Sm As Rh
2 2 6
Direct
0.255 0.005 0.250
0.745 0.995 0.750
0.000 0.500 0.500
0.500 0.500 0.000
0.073 0.323 0.750
0.297 0.000 0.797
0.297 0.500 0.297
0.703 0.000 0.203
0.703 0.500 0.703
0.927 0.677 0.250
```

Values from the calculation:
Energy, eV per cell: -69.026
Energy of formation from the pure elements, kJ/mol of formula units: -298.1
Offset from the most stable computed form, eV/atom: 0.087

No. 5
AlSnSb2I: relaxed, GGA-PBE.

The structure in POSCAR format:
```
AlSnSb2I
1.0
5.368 0.000 0.000
0.000 5.368 0.000
0.000 0.000 5.453
Al Sn Sb I
1 1 2 1
Direct
0.000 0.000 0.000
0.500 0.500 0.500
0.000 0.500 0.000
0.500 0.000 0.000
0.000 0.000 0.500
```

Values from the calculation:
Formation energy from raw total energies, kJ/mol of formula units: 182
Energy, eV per cell: -15.658
Offset from the most stable computed form, eV/atom: 0.000

No. 6
CdGa2Pt2: relaxed, GGA-PBE.

The structure in POSCAR format:
```
CdGa2Pt2
1.0
7.390 0.000 0.000
0.000 7.390 0.000
0.000 0.000 3.089
Cd Ga Pt
2 4 4
Direct
0.000 0.000 0.000
0.500 0.500 0.000
0.149 0.351 0.500
0.351 0.851 0.500
0.649 0.149 0.500
0.851 0.649 0.500
0.147 0.647 0.000
0.353 0.147 0.000
0.647 0.853 0.000
0.853 0.353 0.000
```

Values from the calculation:
Energy, eV per cell: -42.831
Energy of formation from the pure elements, kJ/mol of formula units: -228.2
Offset from the most stable computed form, eV/atom: 0.009

No. 7
RbBiBr2F: relaxed, GGA-PBE.

The structure in POSCAR format:
```
RbBiBr2F
1.0
6.339 0.000 0.000
0.000 6.339 0.000
0.000 0.000 8.010
Rb Bi Br F
1 1 2 1
Direct
0.000 0.000 0.000
0.000 0.000 0.500
0.000 0.500 0.000
0.500 0.000 0.000
0.500 0.500 0.500
```

Values from the calculation:
Formation energy from raw total energies, kJ/mol of formula units: 44
Energy, eV per cell: -9.609
Offset from the most stable computed form, eV/atom: 1.478

No. 8
NdDy2PuSb4: relaxed, GGA-PBE.

The structure in POSCAR format:
```
NdDy2PuSb4
1.0
7.668 0.000 0.000
0.000 4.437 0.000
-2.559 0.000 7.237
Nd Dy Pu Sb
1 2 1 4
Direct
0.000 0.000 0.000
0.500 0.000 0.500
0.500 0.500 0.000
0.000 0.500 0.500
0.254 0.000 0.748
0.257 0.500 0.256
0.743 0.500 0.744
0.746 0.000 0.252
```

Values from the calculation:
Formation energy from raw total energies, kJ/mol of formula units: -774
Energy, eV per cell: -52.819

No. 9
LiMg2NiH: relaxed, GGA-PBE.

The structure in POSCAR format:
```
LiMg2NiH
1.0
4.312 0.000 0.000
0.000 4.312 0.000
0.000 0.000 3.488
Li Mg Ni H
1 2 1 1
Direct
0.000 0.000 0.000
0.000 0.500 0.500
0.500 0.000 0.500
0.500 0.500 0.000
0.000 0.000 0.500
```

Values from the calculation:
Energy, eV per cell: -14.639
Offset from the most stable computed form, eV/atom: 0.033

No. 10
KCo2Ni: relaxed, GGA-PBE.

The structure in POSCAR format:
```
KCo2Ni
1.0
1.334 0.770 9.451
-1.334 0.770 9.451
0.000 -1.541 9.451
K Co Ni
1 2 1
Direct
0.000 0.000 0.000
0.232 0.232 0.232
0.499 0.499 0.499
0.763 0.763 0.763
```

Values from the calculation:
Energy, eV per cell: -18.097
Energy of formation from the pure elements, kJ/mol of formula units: 288.9
Offset from the most stable computed form, eV/atom: 0.146

No. 11
ScReAs2: relaxed, GGA-PBE.

The structure in POSCAR format:
```
ScReAs2
1.0
-1.945 1.945 4.459
1.945 -1.945 4.459
1.945 1.945 -4.459
Sc Re As
1 1 2
Direct
0.000 0.000 0.000
0.750 0.250 0.500
0.250 0.750 0.500
0.500 0.500 0.000
```

Values from the calculation:
Energy, eV per cell: -28.106
Energy of formation from the pure elements, kJ/mol of formula units: -2.6
Offset from the most stable computed form, eV/atom: 0.451

No. 12
CeTm4Se5: relaxed, GGA-PBE.

The structure in POSCAR format:
```
CeTm4Se5
1.0
6.766 -2.013 0.000
6.766 2.013 0.000
-4.955 0.000 8.650
Ce Tm Se
1 4 5
Direct
0.000 0.000 0.000
0.205 0.205 0.801
0.403 0.403 0.607
0.597 0.597 0.393
0.795 0.795 0.199
0.000 0.000 0.500
0.206 0.206 0.311
0.394 0.394 0.106
0.606 0.606 0.894
0.794 0.794 0.689
```

Values from the calculation:
Formation energy from raw total energies, kJ/mol of formula units: -1638
Energy, eV per cell: -58.224

Q: Among the records above, which one has the highest energy?
A: RbBiBr2F

Q: What is the energy in the third record?
A: -13.556 eV per cell